This record from the Alexandria database describes a relaxed structure of Mg4MoO5. The functional is PBE with a Hubbard U.

a = 6.8476 Å, b = 6.8476 Å, c = 4.3707 Å
α = 90.00°, β = 90.00°, γ = 90.00°
Closest atoms and distances in Å follow each position.
Space group I4/m (No. 87)
Asymmetric unit:
1 Mg 0.1004 0.2994 0.0000 [8 per cell]  6 O 2.08-2.19
2 Mo 0.0000 0.0000 0.5000 [2 per cell]  6 O 2.19-2.26
3 O 0.0000 0.0000 0.0000 [2 per cell]  4 Mg 2.16, 2 Mo 2.19
4 O 0.1077 0.3118 0.5000 [8 per cell]  5 Mg 2.08-2.19, 1 Mo 2.26

Summary:
calculated density = 4.4 g/cm³
DOS(E_F) = 1.93 states/eV/cell
final energy = -6.001 eV/atom